Compound: Ca6Ag2Rh
Source: the Alexandria database
Functional: PBE-GGA
Structure: relaxed

Unit cell a=6.7295 b=8.1774 c=10.1631 alpha=90.00 beta=90.87 gamma=90.00
Closest atoms and distances in Å follow each position.
Element x y z (fractional)
Ca: 0.1277 0.0331 0.2460  1 Rh 2.75
Ca: 0.1477 0.3122 0.5575  1 Rh 2.80
Ca: 0.1536 0.3311 0.9409  1 Rh 2.77
Ca: 0.3464 0.8311 0.5591  1 Rh 2.77
Ca: 0.3523 0.8122 0.9425  1 Rh 2.80
Ca: 0.3724 0.5331 0.2540  1 Rh 2.75
Ca: 0.8724 0.9669 0.7540  1 Rh 2.75
Ca: 0.8523 0.6878 0.4425  1 Rh 2.80
Ca: 0.8464 0.6689 0.0591  1 Rh 2.77
Ca: 0.6536 0.1689 0.4409  1 Rh 2.77
Ca: 0.6477 0.1878 0.0575  1 Rh 2.80
Ca: 0.6276 0.4669 0.7460  1 Rh 2.75
Ag: 0.0662 0.6173 0.7421  7 Ca 3.14-3.40
Ag: 0.4338 0.1173 0.7579  7 Ca 3.14-3.40
Ag: 0.5662 0.8827 0.2421  7 Ca 3.14-3.40
Ag: 0.9338 0.3827 0.2579  7 Ca 3.14-3.40
Rh: 0.5000 0.5000 0.0000  6 Ca 2.75-2.80
Rh: 0.0000 0.0000 0.5000  6 Ca 2.75-2.80

Properties
ΔE_f, meV per atom: -273
Mass density, kg/m3: 3320
Total moment, μB per atom: 0.000
DFT total energy, eV/cell: -55.04


Compound: PmHfSe4
Source: the Alexandria database
Functional: PBE-GGA
Structure: relaxed

Unit cell a=6.6784 b=7.4288 c=7.8664 alpha=113.92 beta=90.00 gamma=90.00
Closest atoms and distances in Å follow each position.
Element x y z (fractional)
Pm: 0.0000 0.5000 0.5000  6 Se 2.88-2.99
Pm: 0.5000 0.0000 0.5000  6 Se 2.88-2.99
Hf: 0.5000 0.5000 0.0000  6 Se 2.61-2.71
Hf: 0.0000 0.0000 0.0000  6 Se 2.61-2.71
Se: 0.2897 0.8375 0.1335  2 Hf 2.69-2.71, 1 Pm 2.99
Se: 0.2103 0.3375 0.1335  2 Hf 2.69-2.71, 1 Pm 2.99
Se: 0.6787 0.6151 0.3217  1 Hf 2.61, 2 Pm 2.88
Se: 0.1787 0.8849 0.6783  1 Hf 2.61, 2 Pm 2.88
Se: 0.8213 0.1151 0.3217  1 Hf 2.61, 2 Pm 2.88
Se: 0.3213 0.3849 0.6783  1 Hf 2.61, 2 Pm 2.88
Se: 0.7897 0.6625 0.8665  2 Hf 2.69-2.71, 1 Pm 2.99
Se: 0.7103 0.1625 0.8665  2 Hf 2.69-2.71, 1 Pm 2.99

Properties
Mass density, kg/m3: 5952
Total moment, μB per atom: 0.000
ΔE_f (raw), eV per atom: -1.233
DFT total energy, eV/cell: -72.08


Compound: P2S2Br
Source: the Alexandria database
Functional: PBE-GGA
Structure: relaxed

Unit cell a=4.6913 b=4.6913 c=5.1016 alpha=90.00 beta=90.00 gamma=90.00
Closest atoms and distances in Å follow each position.
Element x y z (fractional)
P: 0.5000 0.5000 0.5000  4 P 3.32, 8 S 3.47
P: 0.0000 0.0000 0.5000  2 Br 2.55
S: 0.0000 0.5000 0.0000  2 Br 2.35
S: 0.5000 0.0000 0.0000  2 Br 2.35
Br: 0.0000 0.0000 0.0000  4 S 2.35, 2 P 2.55

Properties
Energy above the most stable polymorph in this dataset, meV/atom: 1689
Mass density, kg/m3: 3046
Total moment, μB per atom: 0.000
ΔE_f (raw), eV per atom: 1.652
DFT total energy, eV/cell: -12.49


Compound: Pm3Tm5Sc2
Source: the Alexandria database
Functional: PBE-GGA
Structure: relaxed

Unit cell a=9.0695 b=9.0577 c=9.5490 alpha=108.66 beta=108.64 gamma=109.05
Closest atoms and distances in Å follow each position.
Element x y z (fractional)
Pm: 0.2633 0.0138 0.0272  4 Sc 3.26-3.61, 3 Tm 3.27-3.60, 2 Pm 3.51
Pm: 0.7367 0.9862 0.9728  4 Sc 3.26-3.61, 3 Tm 3.27-3.60, 2 Pm 3.51
Pm: 0.5231 0.4767 0.2534  1 Sc 3.00, 3 Tm 3.24-3.35
Pm: 0.4769 0.5233 0.7466  1 Sc 3.00, 3 Tm 3.24-3.35
Pm: 0.2304 0.7766 0.2529  1 Sc 3.00, 3 Tm 3.24-3.35
Pm: 0.7696 0.2234 0.7471  1 Sc 3.00, 3 Tm 3.24-3.35
Tm: 0.2264 0.4761 0.9529  1 Tm 3.13, 4 Pm 3.24-3.46
Tm: 0.7736 0.5239 0.0471  1 Tm 3.13, 4 Pm 3.24-3.46
Tm: 0.9702 0.7199 0.4401  3 Tm 3.13-3.40, 4 Sc 3.16-3.30, 2 Pm 3.39
Tm: 0.4687 0.2187 0.4372  5 Pm 3.27-3.35, 2 Sc 3.29, 2 Tm 3.46
Tm: 0.0298 0.2801 0.5599  3 Tm 3.13-3.40, 4 Sc 3.16-3.30, 2 Pm 3.39
Tm: 0.5313 0.7813 0.5628  5 Pm 3.27-3.35, 2 Sc 3.29, 2 Tm 3.46
Tm: 0.8669 0.6036 0.7142  2 Sc 3.34-3.46, 2 Tm 3.39-3.46, 3 Pm 3.41-3.60
Tm: 0.1331 0.3964 0.2858  2 Sc 3.34-3.46, 2 Tm 3.39-3.46, 3 Pm 3.41-3.60
Tm: 0.3478 0.1105 0.7143  2 Sc 3.34-3.46, 2 Tm 3.40-3.46, 3 Pm 3.41-3.60
Tm: 0.6522 0.8895 0.2856  2 Sc 3.34-3.46, 2 Tm 3.40-3.46, 3 Pm 3.41-3.60
Sc: 0.9636 0.0111 0.7247  2 Pm 3.00-3.26, 4 Tm 3.16-3.34
Sc: 0.0364 0.9889 0.2753  2 Pm 3.00-3.26, 4 Tm 3.16-3.34
Sc: 0.2619 0.7146 0.7256  2 Pm 3.00-3.26, 4 Tm 3.16-3.34
Sc: 0.7381 0.2854 0.2744  2 Pm 3.00-3.26, 4 Tm 3.16-3.34

Properties
ΔE_f, meV per atom: 182
Mass density, kg/m3: 7351
Total moment, μB per atom: 0.000
DFT total energy, eV/cell: -94.91


Compound: PrSm4Ho2Mg
Source: the Alexandria database
Functional: PBE-GGA
Structure: relaxed

Unit cell a=5.8471 b=9.5344 c=5.8397 alpha=52.23 beta=90.00 gamma=90.00
Closest atoms and distances in Å follow each position.
Element x y z (fractional)
Pr: 0.5000 0.5000 0.0000  8 Sm 3.45-3.46, 2 Ho 3.77
Sm: 0.0000 0.7455 0.7541  2 Mg 3.45-3.46, 2 Pr 3.46, 4 Ho 3.49-3.50, 2 Sm 3.70-3.84
Sm: 0.0000 0.2545 0.2459  2 Mg 3.45-3.46, 2 Pr 3.46, 4 Ho 3.49-3.50, 2 Sm 3.70-3.84
Sm: 0.5000 0.7451 0.2552  2 Pr 3.45-3.46, 2 Mg 3.46, 4 Ho 3.49-3.50, 2 Sm 3.69-3.84
Sm: 0.5000 0.2549 0.7448  2 Pr 3.45-3.46, 2 Mg 3.46, 4 Ho 3.49-3.50, 2 Sm 3.69-3.84
Ho: 0.0000 0.0000 0.0000  8 Sm 3.49-3.50, 2 Mg 3.77
Ho: 0.5000 0.0000 0.5000  8 Sm 3.49-3.50, 2 Pr 3.77
Mg: 0.0000 0.5000 0.5000  8 Sm 3.45-3.46, 2 Ho 3.77

Properties
ΔE_f, meV per atom: 76
Mass density, kg/m3: 7075
Total moment, μB per atom: 0.000
DFT total energy, eV/cell: -33.80


Compound: InIr
Source: the Alexandria database
Functional: PBE-GGA
Structure: relaxed

Unit cell a=5.3727 b=5.3727 c=7.2526 alpha=72.71 beta=72.71 gamma=32.20
Closest atoms and distances in Å follow each position.
Element x y z (fractional)
In: 0.9574 0.9574 0.0118  6 Ir 2.82-2.90, 2 In 2.98
In: 0.6718 0.6718 0.6600  7 Ir 2.74-2.86, 3 In 2.97-2.98
In: 0.6401 0.6401 0.2660  7 Ir 2.76-3.04, 3 In 2.97-2.98
Ir: 0.3604 0.3604 0.3574  7 In 2.76-2.96, 4 Ir 2.78-2.98
Ir: 0.9543 0.9543 0.6127  6 Ir 2.78-2.98, 6 In 2.80-3.04
Ir: 0.2493 0.2493 0.9256  7 In 2.74-2.88, 4 Ir 2.98

Properties
ΔE_f, meV per atom: 44
Mass density, kg/m3: 14419
Total moment, μB per atom: 0.000
DFT total energy, eV/cell: -34.54


- mass density of number 5 (PrSm4Ho2Mg)?
  7075 kg/m3